1.
DFT (PBE) results for NdPaO2 after structural relaxation.

```
data_NdPaO2
_cell_length_a 3.7867
_cell_length_b 3.7867
_cell_length_c 19.1335
_cell_angle_alpha 90.00
_cell_angle_beta 90.00
_cell_angle_gamma 120.00
_symmetry_space_group_name_H-M 'R -3 m'
_symmetry_Int_Tables_number 166
_symmetry_space_group_name_Hall '-R 3 2"'
loop_
_atom_site_label
_atom_site_fract_x
_atom_site_fract_y
_atom_site_fract_z
Nd1 0.0000 0.0000 0.0000
Pa1 0.0000 0.0000 0.5000
O1 0.0000 0.0000 0.1280
```

Output
Volume   19.80 Å³/atom
E above lowest polymorph   0.0 kJ/mol of formula units
Calculated density   8.5 g/cm³
Spin magnetization   0.00 μB per formula unit
Energy relative to the elements, uncorrected   -2601.4 meV/atom

2.
DFT (PBE) results for NdPaO4 after structural relaxation.

```
data_NdPaO4
_cell_length_a 5.5184
_cell_length_b 5.5184
_cell_length_c 10.8917
_cell_angle_alpha 90.00
_cell_angle_beta 90.00
_cell_angle_gamma 90.00
_symmetry_space_group_name_H-M 'I 41/a m d'
_symmetry_Int_Tables_number 141
loop_
_symmetry_equiv_pos_as_xyz
'x,y,z'
'-x,-y,-z'
'-y+1/4,x+3/4,z+1/4'
'y+1/4,-x+3/4,-z+1/4'
'-x+1/2,-y,z+1/2'
'x+1/2,y,-z+1/2'
'y+1/4,-x+1/4,z+3/4'
'-y+1/4,x+1/4,-z+3/4'
'x,-y,-z'
'-x,y,z'
'-y+1/4,-x+1/4,-z+3/4'
'y+1/4,x+1/4,z+3/4'
'-x+1/2,y,-z+1/2'
'x+1/2,-y,z+1/2'
'y+1/4,x+3/4,-z+1/4'
'-y+1/4,-x+3/4,z+1/4'
'x+1/2,y+1/2,z+1/2'
'-x+1/2,-y+1/2,-z+1/2'
'-y+3/4,x+1/4,z+3/4'
'y+3/4,-x+1/4,-z+3/4'
'-x,-y+1/2,z'
'x,y+1/2,-z'
'y+3/4,-x+3/4,z+1/4'
'-y+3/4,x+3/4,-z+1/4'
'x+1/2,-y+1/2,-z+1/2'
'-x+1/2,y+1/2,z+1/2'
'-y+3/4,-x+3/4,-z+1/4'
'y+3/4,x+3/4,z+1/4'
'-x,y+1/2,-z'
'x,-y+1/2,z'
'y+3/4,x+1/4,-z+3/4'
'-y+3/4,-x+1/4,z+3/4'
loop_
_atom_site_label
_atom_site_fract_x
_atom_site_fract_y
_atom_site_fract_z
Nd1 0.0000 0.2500 0.3750
Pa1 0.0000 0.2500 0.8750
O1 0.2304 0.0000 0.0000
```

Output
Volume   13.82 Å³/atom
Calculated density   8.8 g/cm³
Spin magnetization   0.00 μB per formula unit
Energy relative to the elements, uncorrected   -3648.6 meV/atom

3.
DFT (PBE) results for NdPa2O7 after structural relaxation.

```
data_NdPa2O7
_cell_length_a 3.9170
_cell_length_b 3.9170
_cell_length_c 31.8892
_cell_angle_alpha 90.00
_cell_angle_beta 90.00
_cell_angle_gamma 120.00
_symmetry_space_group_name_H-M 'R -3 m'
_symmetry_Int_Tables_number 166
_symmetry_space_group_name_Hall '-R 3 2"'
loop_
_atom_site_label
_atom_site_fract_x
_atom_site_fract_y
_atom_site_fract_z
Nd1 0.0000 0.0000 0.0000
Pa1 0.0000 0.0000 0.4322
O1 0.0000 0.0000 0.0782
O2 0.0000 0.0000 0.2185
O3 0.0000 0.0000 0.3633
O4 0.0000 0.0000 0.5000
```

Output
Volume   14.12 Å³/atom
E above lowest polymorph   0.0 kJ/mol of formula units
Calculated density   8.4 g/cm³
Spin magnetization   1.09 μB per formula unit
Energy relative to the elements, uncorrected   -3335.8 meV/atom

4.
DFT (PBE) results for NdPaO2 after structural relaxation.

```
data_NdPaO2
_cell_length_a 3.1115
_cell_length_b 3.1115
_cell_length_c 6.2307
_cell_angle_alpha 90.00
_cell_angle_beta 90.00
_cell_angle_gamma 90.00
_symmetry_space_group_name_H-M 'P 4/m m m'
_symmetry_Int_Tables_number 123
_symmetry_space_group_name_Hall '-P 4 2'
loop_
_atom_site_label
_atom_site_fract_x
_atom_site_fract_y
_atom_site_fract_z
Nd1 0.0000 0.0000 0.0000
Pa1 0.0000 0.0000 0.5000
O1 0.5000 0.5000 0.2694
```

Output
Volume   15.08 Å³/atom
E above lowest polymorph   306.1 kJ/mol of formula units
Calculated density   11.2 g/cm³
Spin magnetization   1.31 μB per formula unit
Energy relative to the elements, uncorrected   -1808.2 meV/atom